Li3Co3NiO8 | the Alexandria database | GGA+U | relaxed; relative energy among the computed polymorphs = 0 meV/atom; density of states at the Fermi level = 0.22 states/eV/atom; calculated volume = 8.995 A^3/atom
1.0
-4.027 -0.179 4.029
5.486 0.108 1.457
2.190 4.832 2.404
Co Li O Ni
3 3 8 1
Direct
0.500 0.500 0.000
0.500 0.000 0.000
0.000 0.500 0.000
0.500 0.000 0.500
0.500 0.500 0.500
0.000 0.500 0.500
0.755 0.510 0.218
0.725 0.975 0.787
0.732 0.464 0.790
0.250 0.975 0.787
0.245 0.490 0.782
0.750 0.025 0.213
0.268 0.536 0.210
0.275 0.025 0.213
0.000 0.000 0.000